First-principles (PBE-GGA) data for a relaxed AlCoTc3 crystal, as listed in the Alexandria database.

a = 4.389 Å, b = 4.389 Å, c = 4.389 Å
α = 90.00°, β = 90.00°, γ = 90.00°
Positions (direct):
Co: 0.000 0.000 0.000
Al: 0.500 0.500 0.500
Tc: 0.000 0.000 0.500
Tc: 0.000 0.500 0.000
Tc: 0.500 0.000 0.000

As for the space-group type: Pm-3m (221). As for the formation energy: 1.162 eV per atom.